Entry 1:
MgZnCdSn: optimized geometry, PBE-GGA.

Cell: 4.993 4.993 4.993 Å, 60.00 60.00 60.00°
Element x y z (fractional)
Mg (0.500, 0.500, 0.500)
Zn (0.000, 0.000, 0.000)
Sn (0.250, 0.250, 0.250)
Cd (0.750, 0.750, 0.750)

Values from the calculation:
Energy of formation from the pure elements: 4 kJ per mole of atoms


Entry 2:
Sr3MgCd4: optimized geometry, PBE-GGA.

Cell: 3.954 3.954 15.633 Å, 90.00 90.00 90.00°
Element x y z (fractional)
Sr (0.500, 0.500, 0.767)
Sr (0.500, 0.500, 0.500)
Sr (0.500, 0.500, 0.233)
Mg (0.500, 0.500, 0.000)
Cd (0.000, 0.000, 0.366)
Cd (0.000, 0.000, 0.097)
Cd (0.000, 0.000, 0.634)
Cd (0.000, 0.000, 0.903)

Values from the calculation:
Energy of formation from the pure elements: -25 kJ per mole of atoms


Entry 3:
Sr4MgCd3: optimized geometry, PBE-GGA.

Cell: 4.496 5.080 12.809 Å, 90.00 90.00 90.00°
Element x y z (fractional)
Sr (0.000, 0.000, 0.152)
Sr (0.000, 0.500, 0.846)
Sr (0.500, 0.500, 0.359)
Sr (0.500, 0.000, 0.645)
Mg (0.500, 0.500, 0.063)
Cd (0.000, 0.500, 0.570)
Cd (0.500, 0.000, 0.933)
Cd (0.000, 0.000, 0.432)

Values from the calculation:
Energy of formation from the pure elements: -23 kJ per mole of atoms
E above lowest polymorph: 0.020 eV/atom


Entry 4:
Sr2Mg3Cd4: optimized geometry, PBE-GGA.

Cell: 6.052 6.143 8.229 Å, 79.56 68.43 60.49°
Element x y z (fractional)
Cd (0.665, 0.339, 0.332)
Cd (0.996, 0.339, 0.668)
Cd (0.004, 0.661, 0.332)
Cd (0.335, 0.661, 0.668)
Mg (0.000, 0.500, 0.000)
Mg (0.000, 0.000, 0.000)
Mg (0.500, 0.500, 0.000)
Sr (0.640, 0.000, 0.720)
Sr (0.360, 0.000, 0.280)

Values from the calculation:
Energy of formation from the pure elements: -19 kJ per mole of atoms
E above lowest polymorph: 0.015 eV/atom


Entry 5:
Sr2Mg2Cd: optimized geometry, PBE-GGA.

Cell: 8.106 8.106 5.245 Å, 90.00 90.00 90.00°
Element x y z (fractional)
Sr (0.176, 0.676, 0.500)
Sr (0.676, 0.824, 0.500)
Sr (0.824, 0.324, 0.500)
Sr (0.324, 0.176, 0.500)
Cd (0.500, 0.500, 0.000)
Cd (0.000, 0.000, 0.000)
Mg (0.631, 0.131, 0.000)
Mg (0.869, 0.631, 0.000)
Mg (0.369, 0.869, 0.000)
Mg (0.131, 0.369, 0.000)

Values from the calculation:
Energy of formation from the pure elements: -6 kJ per mole of atoms
E above lowest polymorph: 0.096 eV/atom


Entry 6:
SrMg6Cd2: optimized geometry, PBE-GGA.

Cell: 4.661 4.661 10.645 Å, 90.00 90.00 90.00°
Element x y z (fractional)
Cd (0.500, 0.500, 0.865)
Cd (0.500, 0.500, 0.135)
Sr (0.000, 0.000, 0.000)
Mg (0.000, 0.000, 0.500)
Mg (0.000, 0.500, 0.300)
Mg (0.000, 0.500, 0.700)
Mg (0.500, 0.000, 0.700)
Mg (0.500, 0.500, 0.500)
Mg (0.500, 0.000, 0.300)

Values from the calculation:
Energy of formation from the pure elements: -12 kJ per mole of atoms


Entry 7:
Sr2Mg3Cd9: optimized geometry, PBE-GGA.

Cell: 8.867 8.867 10.191 Å, 90.00 90.00 118.87°
Element x y z (fractional)
Cd (0.147, 0.147, 0.250)
Cd (0.641, 0.446, 0.750)
Cd (0.554, 0.359, 0.250)
Cd (0.336, 0.336, 0.536)
Cd (0.015, 0.343, 0.087)
Cd (0.336, 0.336, 0.964)
Cd (0.015, 0.343, 0.413)
Cd (0.343, 0.015, 0.413)
Cd (0.657, 0.985, 0.913)
Cd (0.985, 0.657, 0.587)
Cd (0.359, 0.554, 0.250)
Cd (0.853, 0.853, 0.750)
Cd (0.985, 0.657, 0.913)
Cd (0.664, 0.664, 0.464)
Cd (0.343, 0.015, 0.087)
Cd (0.446, 0.641, 0.750)
Cd (0.664, 0.664, 0.036)
Cd (0.657, 0.985, 0.587)
Mg (0.316, 0.684, 0.500)
Mg (0.000, 0.000, 0.000)
Mg (0.684, 0.316, 0.000)
Mg (0.316, 0.684, 0.000)
Mg (0.000, 0.000, 0.500)
Mg (0.684, 0.316, 0.500)
Sr (0.323, 0.007, 0.750)
Sr (0.007, 0.323, 0.750)
Sr (0.677, 0.993, 0.250)
Sr (0.993, 0.677, 0.250)

Values from the calculation:
Energy of formation from the pure elements: -20 kJ per mole of atoms


Entry 8:
SrMgCd6: optimized geometry, PBE-GGA.

Cell: 4.798 4.798 9.335 Å, 90.00 90.00 90.00°
Element x y z (fractional)
Cd (0.500, 0.000, 0.673)
Cd (0.500, 0.000, 0.327)
Cd (0.000, 0.500, 0.673)
Cd (0.500, 0.500, 0.149)
Cd (0.000, 0.500, 0.327)
Cd (0.500, 0.500, 0.851)
Sr (0.000, 0.000, 0.000)
Mg (0.000, 0.000, 0.500)

Values from the calculation:
Energy of formation from the pure elements: -11 kJ per mole of atoms


Entry 9:
SrMg2Cd9: optimized geometry, PBE-GGA.

Cell: 7.826 9.393 9.393 Å, 80.01 65.38 65.38°
Element x y z (fractional)
Cd (0.743, 0.826, 0.584)
Cd (0.750, 0.500, 0.500)
Cd (0.007, 0.674, 0.916)
Cd (0.597, 0.084, 0.326)
Cd (0.673, 0.584, 0.174)
Cd (0.597, 0.326, 0.084)
Cd (0.000, 0.000, 0.000)
Cd (0.431, 0.826, 0.416)
Cd (0.743, 0.584, 0.826)
Cd (0.077, 0.916, 0.326)
Cd (0.431, 0.416, 0.826)
Cd (0.153, 0.416, 0.174)
Cd (0.673, 0.174, 0.584)
Cd (0.319, 0.674, 0.084)
Cd (0.319, 0.084, 0.674)
Cd (0.153, 0.174, 0.416)
Cd (0.077, 0.326, 0.916)
Cd (0.007, 0.916, 0.674)
Mg (0.875, 0.250, 0.750)
Mg (0.875, 0.750, 0.250)
Mg (0.875, 0.250, 0.250)
Mg (0.375, 0.750, 0.750)
Sr (0.500, 0.000, 0.000)
Sr (0.250, 0.500, 0.500)

Values from the calculation:
Energy of formation from the pure elements: -16 kJ per mole of atoms
E above lowest polymorph: 0.000 eV/atom


Entry 10:
Sr2MgCd: optimized geometry, PBE-GGA.

Cell: 6.758 6.758 5.891 Å, 67.15 67.15 34.89°
Element x y z (fractional)
Mg (0.211, 0.211, 0.275)
Cd (0.526, 0.526, 0.491)
Sr (0.983, 0.983, 0.026)
Sr (0.779, 0.779, 0.708)

Values from the calculation:
Energy of formation from the pure elements: -15 kJ per mole of atoms
E above lowest polymorph: 0.040 eV/atom


Entry 11:
Sr5MgCd4: optimized geometry, PBE-GGA.

Cell: 4.061 4.061 20.630 Å, 90.00 90.00 90.00°
Element x y z (fractional)
Cd (0.000, 0.000, 0.599)
Cd (0.000, 0.000, 0.202)
Cd (0.000, 0.000, 0.401)
Cd (0.000, 0.000, 0.798)
Sr (0.500, 0.500, 0.697)
Sr (0.500, 0.500, 0.894)
Sr (0.500, 0.500, 0.106)
Sr (0.500, 0.500, 0.303)
Sr (0.500, 0.500, 0.500)
Mg (0.000, 0.000, 0.000)

Values from the calculation:
Energy of formation from the pure elements: -27 kJ per mole of atoms


Entry 12:
Sr2MgCd: optimized geometry, PBE-GGA.

Cell: 7.945 7.945 7.945 Å, 152.08 56.15 132.34°
Element x y z (fractional)
Cd (0.500, 0.000, 0.500)
Mg (0.000, 0.000, 0.000)
Sr (0.731, 0.000, 0.731)
Sr (0.269, 0.000, 0.269)

Values from the calculation:
Energy of formation from the pure elements: 38 kJ per mole of atoms
E above lowest polymorph: 0.584 eV/atom


Number 1: total DFT energy (no corrections) -7.6 eV for the cell shown. Number 2: total DFT energy (no corrections) -12.3 eV for the cell shown. Number 3: total DFT energy (no corrections) -13.0 eV for the cell shown. Number 4: total DFT energy (no corrections) -13.6 eV for the cell shown. Number 5: total DFT energy (no corrections) -15.5 eV for the cell shown. Number 6: total DFT energy (no corrections) -14.2 eV for the cell shown. Number 7: total DFT energy (no corrections) -38.5 eV for the cell shown. Number 8: total DFT energy (no corrections) -9.7 eV for the cell shown. Number 9: total DFT energy (no corrections) -30.2 eV for the cell shown. Number 10: total DFT energy (no corrections) -6.5 eV for the cell shown. Number 11: total DFT energy (no corrections) -16.4 eV for the cell shown. Number 12: total DFT energy (no corrections) -4.3 eV for the cell shown.